Record 1
Crystalline TiTeIr2Rh at its relaxed geometry. Source: Alexandria via LeMat-Bulk, functional PBE.

It has space group P4/mmm (No. 123), with a = 4.659 Å, b = 4.659 Å, c = 4.582 Å, α = 90.00°, β = 90.00° and γ = 90.00°. The inequivalent atoms are Ti at (0.000, 0.000, 0.000), Te at (0.500, 0.500, 0.500), Ir at (0.000, 0.500, 0.000) and Rh at (0.000, 0.000, 0.500).

The calculation puts the total DFT energy (no corrections) at -31.764 eV/cell. For the energy above the lowest structure with this stoichiometry, the calculation gives 0.000 eV/atom. The value obtained for the magnetization is 0.00 μB per cell. The calculation puts the uncorrected formation energy at 0.869 eV per atom.

***

Record 2
Crystalline TiTeIr2Rh at its relaxed geometry. Source: Alexandria via LeMat-Bulk, functional PBE.

It has space group P4/mmm (No. 123), with a = 4.728 Å, b = 4.728 Å, c = 4.989 Å, α = 90.00°, β = 90.00° and γ = 90.00°. The inequivalent atoms are Ti at (0.000, 0.000, 0.000), Te at (0.500, 0.500, 0.000), Ir at (0.000, 0.500, 0.500) and Rh at (0.500, 0.500, 0.500).

The calculation puts the total DFT energy (no corrections) at -29.438 eV/cell. For the energy above the lowest structure with this stoichiometry, the calculation gives 0.465 eV/atom. The value obtained for the magnetization is 0.02 μB per cell. The calculation puts the uncorrected formation energy at 1.334 eV per atom.

***

Record 3
Crystalline Th2Ir3Rh3 at its relaxed geometry. Source: Alexandria via LeMat-Bulk, functional PBE.

It has space group Pmmm (No. 47), with a = 4.141 Å, b = 4.175 Å, c = 8.251 Å, α = 90.00°, β = 90.00° and γ = 90.00°. The inequivalent atoms are Th at (0.000, 0.000, 0.248), Ir at (0.000, 0.500, 0.500), Ir at (0.500, 0.500, 0.253), Rh at (0.000, 0.500, 0.000), Rh at (0.500, 0.000, 0.000) and Rh at (0.500, 0.000, 0.500).

Its formation energy is -61.85 kJ per mole of atoms. The calculation puts the total DFT energy (no corrections) at -68.605 eV/cell. The value obtained for the magnetization is 0.00 μB per cell.

***

Record 4
Crystalline Th4IrRh3 at its relaxed geometry. Source: Alexandria via LeMat-Bulk, functional PBE.

It has space group Pm-3m (No. 221), with a = 5.814 Å, b = 5.814 Å, c = 5.814 Å, α = 90.00°, β = 90.00° and γ = 90.00°. The inequivalent atoms are Th at (0.000, 0.000, 0.000), Th at (0.000, 0.500, 0.500), Ir at (0.500, 0.500, 0.500) and Rh at (0.000, 0.000, 0.500).

Its formation energy is -89.51 kJ per mole of atoms. The calculation puts the total DFT energy (no corrections) at -68.016 eV/cell. For the energy above the lowest structure with this stoichiometry, the calculation gives 0.000 eV/atom. The value obtained for the magnetization is 0.00 μB per cell.

***

Record 5
Crystalline Th6IrRh5 at its relaxed geometry. Source: Alexandria via LeMat-Bulk, functional PBE.

It has space group C2/m (No. 12), with a = 7.115 Å, b = 12.337 Å, c = 7.115 Å, α = 90.00°, β = 109.45° and γ = 90.00°. The inequivalent atoms are Th at (0.249, 0.166, 0.249), Th at (0.250, 0.000, 0.751), Ir at (0.000, 0.000, 0.000), Rh at (0.000, 0.167, 0.500), Rh at (0.000, 0.333, 0.000) and Rh at (0.000, 0.500, 0.500).

Its formation energy is -88.53 kJ per mole of atoms. The calculation puts the total DFT energy (no corrections) at -202.294 eV/cell. The value obtained for the magnetization is 0.00 μB per cell.

***

Record 6
Crystalline ThIrRh4 at its relaxed geometry. Source: Alexandria via LeMat-Bulk, functional PBE.

It has space group Pmma (No. 51), with a = 7.787 Å, b = 4.009 Å, c = 6.758 Å, α = 90.00°, β = 90.00° and γ = 90.00°. The inequivalent atoms are Th at (0.250, 0.000, 0.153), Ir at (0.250, 0.000, 0.746), Rh at (0.000, 0.000, 0.500), Rh at (0.041, 0.500, 0.801) and Rh at (0.250, 0.500, 0.472).

Its formation energy is -26.38 kJ per mole of atoms. The calculation puts the total DFT energy (no corrections) at -94.654 eV/cell. The value obtained for the magnetization is 0.00 μB per cell.

***

Record 7
Crystalline Th2IrRh4 at its relaxed geometry. Source: Alexandria via LeMat-Bulk, functional PBE.

It has space group Fmmm (No. 69), with a = 5.551 Å, b = 8.756 Å, c = 11.425 Å, α = 90.00°, β = 90.00° and γ = 90.00°. The inequivalent atoms are Th at (0.000, 0.000, 0.148), Ir at (0.000, 0.000, 0.500), Rh at (0.250, 0.250, 0.000) and Rh at (0.250, 0.250, 0.250).

Its formation energy is -32.04 kJ per mole of atoms. The calculation puts the total DFT energy (no corrections) at -221.723 eV/cell. The value obtained for the magnetization is 4.78 μB per cell.

***

Record 8
Crystalline ThIrRh2 at its relaxed geometry. Source: Alexandria via LeMat-Bulk, functional PBE.

It has space group R-3m (No. 166, hexagonal axes), with a = 4.4917 Å, b = 4.4917 Å, c = 13.4677 Å, α = 90.00°, β = 90.00° and γ = 120.00°. The inequivalent atoms are Th at (0.0000, 0.0000, 0.0000), Ir at (0.0000, 0.0000, 0.5000) and Rh at (0.0000, 0.0000, 0.2040).

Its formation energy is -48.88 kJ per mole of atoms. The calculation puts the total DFT energy (no corrections) at -99.031 eV/cell. For the energy above the lowest structure with this stoichiometry, the calculation gives 0.154 eV/atom. The value obtained for the magnetization is 0.00 μB per cell.

***

Record 9
Crystalline ThIrRh3 at its relaxed geometry. Source: Alexandria via LeMat-Bulk, functional PBE.

It has space group Pbam (No. 55), with a = 5.688 Å, b = 7.301 Å, c = 4.892 Å, α = 90.00°, β = 90.00° and γ = 90.00°. The inequivalent atoms are Th at (0.000, 0.000, 0.000), Ir at (0.000, 0.500, 0.500), Rh at (0.000, 0.500, 0.000) and Rh at (0.104, 0.167, 0.500).

Its formation energy is 5.75 kJ per mole of atoms. The calculation puts the total DFT energy (no corrections) at -76.074 eV/cell. The value obtained for the magnetization is 0.00 μB per cell.

***

Record 10
Crystalline Th3Ir2Rh at its relaxed geometry. Source: Alexandria via LeMat-Bulk, functional PBE.

It has space group C2/m (No. 12), with a = 7.138 Å, b = 12.368 Å, c = 7.145 Å, α = 90.00°, β = 109.51° and γ = 90.00°. The inequivalent atoms are Th at (0.249, 0.000, 0.248), Th at (0.250, 0.166, 0.752), Ir at (0.000, 0.000, 0.500), Ir at (0.000, 0.167, 0.000), Ir at (0.000, 0.500, 0.000) and Rh at (0.000, 0.333, 0.500).

Its formation energy is -91.63 kJ per mole of atoms. The calculation puts the total DFT energy (no corrections) at -212.123 eV/cell. The value obtained for the magnetization is 0.00 μB per cell.

***

Record 11
Crystalline ThIrRh2 at its relaxed geometry. Source: Alexandria via LeMat-Bulk, functional PBE.

It has space group P4/mmm (No. 123), with a = 4.158 Å, b = 4.158 Å, c = 4.114 Å, α = 90.00°, β = 90.00° and γ = 90.00°. The inequivalent atoms are Th at (0.000, 0.000, 0.000), Ir at (0.500, 0.500, 0.000) and Rh at (0.000, 0.500, 0.500).

Its formation energy is -63.75 kJ per mole of atoms. The calculation puts the total DFT energy (no corrections) at -33.627 eV/cell. For the energy above the lowest structure with this stoichiometry, the calculation gives 0.000 eV/atom. The value obtained for the magnetization is 0.00 μB per cell.

***

Record 12
Crystalline Th4IrRh3 at its relaxed geometry. Source: Alexandria via LeMat-Bulk, functional PBE.

It has space group I4/mmm (No. 139), with a = 5.820 Å, b = 5.820 Å, c = 11.610 Å, α = 90.00°, β = 90.00° and γ = 90.00°. The inequivalent atoms are Th at (0.000, 0.000, 0.249), Th at (0.000, 0.500, 0.000), Ir at (0.000, 0.000, 0.000), Rh at (0.000, 0.000, 0.500) and Rh at (0.000, 0.500, 0.250).

Its formation energy is -89.13 kJ per mole of atoms. The calculation puts the total DFT energy (no corrections) at -135.970 eV/cell. For the energy above the lowest structure with this stoichiometry, the calculation gives 0.004 eV/atom. The value obtained for the magnetization is 0.00 μB per cell.

***

Question: Which of these has the highest total DFT energy (no corrections)?
Answer: number 2